Here is a relaxed structure of Sm8YSc2 from the Alexandria database. Energies are from PBE.

The structure in POSCAR format:
```
Sm8YSc2
1.0
-4.6861 3.5088 -0.3148
-5.0716 2.0633 7.1247
2.1476 7.4195 5.0462
Y Sm Sc
1 8 2
Direct
0.5000 0.0000 0.0000
0.2940 0.4246 0.0000
0.5000 0.7916 0.4167
0.8245 0.3379 0.7590
0.8245 0.0969 0.2410
0.1755 0.9031 0.7590
0.5000 0.2084 0.5833
0.1755 0.6621 0.2410
0.7060 0.5754 0.0000
0.0000 0.6889 0.6221
0.0000 0.3111 0.3779
```

Summary:
E = -5.012 eV/atom